DFT (GGA-PBE) results for a relaxed AlRe2Hg crystal.

a = 5.3809 Å, b = 8.3894 Å, c = 2.8720 Å
α = 90.00°, β = 90.00°, γ = 90.00°
With the nearest neighbours (Å) after each atom.
Space group Cmmm (No. 65)
One atom of each set of equivalent atoms:
Al (0.0000, 0.0000, 0.0000) x2  2 Hg 2.69, 2 Al 2.87, 8 Re 2.88
Re (0.2500, 0.2500, 0.5000) x4  4 Re 2.69-2.87, 4 Hg 2.88, 4 Al 2.88
Hg (0.0000, 0.5000, 0.0000) x2  2 Al 2.69, 2 Hg 2.87, 8 Re 2.88

Output
uncorrected energy = -6.57 eV/atom
mass density = 15.37 g/cm³
energy above the most stable polymorph in this dataset = 507 meV per atom
formation enthalpy at 0 K = 0.66 eV per atom
Fermi-level density of states = 4.817 states/eV/f.u.